# Nd2PuPb PBE-GGA relaxed
# Energy = -6.757 eV/atom
# SG = No. 166
# ΔE to the lowest computed polymorph = 348 meV/atom
# Spin magnetization = 1.579 μB per atom
# Energy of formation = 137.1 meV/atom
data_Nd2PuPb
_space_group_name_H-M_alt 'P 1'
_space_group_IT_number 1
_space_group_name_Hall 'P 1'
_cell_length_a 3.4830
_cell_length_b 3.4830
_cell_length_c 12.3932
_cell_angle_alpha 81.92
_cell_angle_beta 81.92
_cell_angle_gamma 60.00
loop_
_atom_site_label
_atom_site_fract_x
_atom_site_fract_y
_atom_site_fract_z
Pb1 0.5000 0.5000 0.5000
Nd1 0.0907 0.0907 0.7279
Nd2 0.9093 0.9093 0.2721
Pu1 0.0000 0.0000 0.0000

# MnTlSe3 PBE-GGA relaxed
# Raw formation energy = -0.249 eV/atom
# Energy = -4.647 eV/atom
# SG = No. 12
# ΔE to the lowest computed polymorph = 0 meV/atom
# Spin magnetization = 0.602 μB per atom
data_MnTlSe3
_space_group_name_H-M_alt 'P 1'
_space_group_IT_number 1
_space_group_name_Hall 'P 1'
_cell_length_a 4.1509
_cell_length_b 6.8985
_cell_length_c 9.6186
_cell_angle_alpha 103.42
_cell_angle_beta 90.00
_cell_angle_gamma 107.51
loop_
_atom_site_label
_atom_site_fract_x
_atom_site_fract_y
_atom_site_fract_z
Mn1 0.8357 0.6713 0.1286
Se1 0.6482 0.2964 0.0064
Se2 0.0217 0.0434 0.2183
Tl1 0.5980 0.1959 0.4219
Se3 0.8033 0.6066 0.3625
Se4 0.1967 0.3934 0.6375
Se5 0.9783 0.9566 0.7817
Mn2 0.1643 0.3287 0.8714
Se6 0.3518 0.7036 0.9936
Tl2 0.4020 0.8041 0.5781

# Rb2SrFe PBE-GGA relaxed
# Energy = -2.072 eV/atom
# SG = No. 225
# Spin magnetization = 0.679 μB per atom
# Energy of formation = 947.9 meV/atom
data_Rb2SrFe
_space_group_name_H-M_alt 'P 1'
_space_group_IT_number 1
_space_group_name_Hall 'P 1'
_cell_length_a 6.5682
_cell_length_b 6.5682
_cell_length_c 6.5682
_cell_angle_alpha 60.00
_cell_angle_beta 60.00
_cell_angle_gamma 60.00
loop_
_atom_site_label
_atom_site_fract_x
_atom_site_fract_y
_atom_site_fract_z
Sr1 0.5000 0.5000 0.5000
Fe1 0.0000 0.0000 0.0000
Rb1 0.2500 0.2500 0.2500
Rb2 0.7500 0.7500 0.7500

# Mg8TlPb5 PBE-GGA relaxed
# Energy = -2.415 eV/atom
# SG = No. 82
# Spin magnetization = 0.000 μB per atom
# Energy of formation = -10.9 meV/atom
data_Mg8TlPb5
_space_group_name_H-M_alt 'P 1'
_space_group_IT_number 1
_space_group_name_Hall 'P 1'
_cell_length_a 7.8410
_cell_length_b 7.8410
_cell_length_c 7.8410
_cell_angle_alpha 110.82
_cell_angle_beta 106.81
_cell_angle_gamma 110.82
loop_
_atom_site_label
_atom_site_fract_x
_atom_site_fract_y
_atom_site_fract_z
Mg1 0.3081 0.2428 0.3862
Mg2 0.5253 0.5839 0.2650
Tl1 0.2500 0.5000 0.7500
Mg3 0.7350 0.2603 0.3189
Pb1 0.0654 0.3865 0.1503
Pb2 0.8497 0.9151 0.2362
Mg4 0.6138 0.9219 0.8566
Mg5 0.9347 0.0781 0.6919
Mg6 0.6811 0.4161 0.9414
Mg7 0.1434 0.7572 0.0653
Pb3 0.5000 0.0000 0.5000
Pb4 0.7638 0.6135 0.6789
Mg8 0.0586 0.7397 0.4747
Pb5 0.3211 0.0849 0.9346

# LaPr3Dy3 PBE-GGA relaxed
# Energy = -4.597 eV/atom
# SG = No. 148
# ΔE to the lowest computed polymorph = 97 meV/atom
# Spin magnetization = 0.000 μB per atom
# Energy of formation = 127.8 meV/atom
data_LaPr3Dy3
_space_group_name_H-M_alt 'P 1'
_space_group_IT_number 1
_space_group_name_Hall 'P 1'
_cell_length_a 8.3533
_cell_length_b 8.3533
_cell_length_c 8.3533
_cell_angle_alpha 69.41
_cell_angle_beta 69.41
_cell_angle_gamma 69.41
loop_
_atom_site_label
_atom_site_fract_x
_atom_site_fract_y
_atom_site_fract_z
Pr1 0.1626 0.8743 0.7314
Dy1 0.9749 0.6920 0.5528
Dy2 0.3080 0.4472 0.0251
Pr2 0.8743 0.7314 0.1626
Pr3 0.8374 0.1257 0.2686
Dy3 0.6920 0.5528 0.9749
Pr4 0.1257 0.2686 0.8374
Dy4 0.5528 0.9749 0.6920
Pr5 0.7314 0.1626 0.8743
Dy5 0.0251 0.3080 0.4472
La1 0.5899 0.5899 0.5899
Pr6 0.2686 0.8374 0.1257
Dy6 0.4472 0.0251 0.3080
La2 0.4101 0.4101 0.4101

# RbMgScIr2 PBE-GGA relaxed
# Energy = -4.229 eV/atom
# SG = No. 123
# Spin magnetization = 0.000 μB per atom
# Energy of formation = 1094.5 meV/atom
data_RbMgScIr2
_space_group_name_H-M_alt 'P 1'
_space_group_IT_number 1
_space_group_name_Hall 'P 1'
_cell_length_a 4.8426
_cell_length_b 5.0676
_cell_length_c 4.8426
_cell_angle_alpha 90.00
_cell_angle_beta 90.00
_cell_angle_gamma 90.00
loop_
_atom_site_label
_atom_site_fract_x
_atom_site_fract_y
_atom_site_fract_z
Ir1 0.5000 0.0000 0.0000
Rb1 0.5000 0.5000 0.5000
Mg1 0.0000 0.0000 0.0000
Ir2 0.0000 0.0000 0.5000
Sc1 0.0000 0.5000 0.0000

# CuAsPt2W PBE-GGA relaxed
# Energy = -5.440 eV/atom
# SG = No. 123
# Spin magnetization = 0.288 μB per atom
# Energy of formation = 1316.5 meV/atom
data_CuAsPt2W
_space_group_name_H-M_alt 'P 1'
_space_group_IT_number 1
_space_group_name_Hall 'P 1'
_cell_length_a 4.5948
_cell_length_b 4.5130
_cell_length_c 4.5948
_cell_angle_alpha 90.00
_cell_angle_beta 90.00
_cell_angle_gamma 90.00
loop_
_atom_site_label
_atom_site_fract_x
_atom_site_fract_y
_atom_site_fract_z
W1 0.0000 0.5000 0.0000
Cu1 0.0000 0.0000 0.0000
As1 0.5000 0.5000 0.5000
Pt1 0.0000 0.0000 0.5000
Pt2 0.5000 0.0000 0.0000

# La2TiVGe PBE-GGA relaxed
# Energy = -5.929 eV/atom
# SG = No. 123
# Spin magnetization = 0.001 μB per atom
# Energy of formation = 368.0 meV/atom
data_La2TiVGe
_space_group_name_H-M_alt 'P 1'
_space_group_IT_number 1
_space_group_name_Hall 'P 1'
_cell_length_a 5.3198
_cell_length_b 4.5800
_cell_length_c 5.3198
_cell_angle_alpha 90.00
_cell_angle_beta 90.00
_cell_angle_gamma 90.00
loop_
_atom_site_label
_atom_site_fract_x
_atom_site_fract_y
_atom_site_fract_z
Ge1 0.5000 0.5000 0.5000
La1 0.0000 0.0000 0.5000
Ti1 0.0000 0.5000 0.0000
La2 0.5000 0.0000 0.0000
V1 0.0000 0.0000 0.0000

# Tm2Be16Co PBE-GGA relaxed
# Energy = -4.165 eV/atom
# SG = No. 160
# Spin magnetization = 0.000 μB per atom
# Energy of formation = -182.7 meV/atom
data_Tm2Be16Co
_space_group_name_H-M_alt 'P 1'
_space_group_IT_number 1
_space_group_name_Hall 'P 1'
_cell_length_a 5.8126
_cell_length_b 5.8126
_cell_length_c 5.8126
_cell_angle_alpha 83.09
_cell_angle_beta 83.09
_cell_angle_gamma 83.09
loop_
_atom_site_label
_atom_site_fract_x
_atom_site_fract_y
_atom_site_fract_z
Be1 0.2740 0.9987 0.7225
Be2 0.7225 0.9987 0.2740
Be3 0.0970 0.0970 0.0970
Be4 0.9987 0.7225 0.2740
Be5 0.6644 0.1517 0.6644
Tm1 0.3426 0.3426 0.3426
Be6 0.2740 0.7225 0.9987
Tm2 0.6624 0.6624 0.6624
Be7 0.3384 0.8448 0.3384
Be8 0.8448 0.3384 0.3384
Be9 0.6644 0.6644 0.1517
Be10 0.1517 0.6644 0.6644
Be11 0.9987 0.2740 0.7225
Be12 0.3384 0.3384 0.8448
Co1 0.9049 0.9049 0.9049
Be13 0.7225 0.2740 0.9987
Be14 0.9976 0.5054 0.9976
Be15 0.5054 0.9976 0.9976
Be16 0.9976 0.9976 0.5054

# Pm4SmAg5 PBE-GGA relaxed
# Energy = -4.071 eV/atom
# SG = No. 123
# Spin magnetization = 0.000 μB per atom
# Energy of formation = -273.4 meV/atom
data_Pm4SmAg5
_space_group_name_H-M_alt 'P 1'
_space_group_IT_number 1
_space_group_name_Hall 'P 1'
_cell_length_a 3.7015
_cell_length_b 3.7015
_cell_length_c 18.9110
_cell_angle_alpha 90.00
_cell_angle_beta 90.00
_cell_angle_gamma 90.00
loop_
_atom_site_label
_atom_site_fract_x
_atom_site_fract_y
_atom_site_fract_z
Sm1 0.0000 0.0000 0.0000
Pm1 0.0000 0.0000 0.1994
Ag1 0.5000 0.5000 0.0986
Ag2 0.5000 0.5000 0.2997
Pm2 0.0000 0.0000 0.8006
Ag3 0.5000 0.5000 0.5000
Ag4 0.5000 0.5000 0.9014
Ag5 0.5000 0.5000 0.7003
Pm3 0.0000 0.0000 0.3998
Pm4 0.0000 0.0000 0.6002

# Ca3CrSb PBE-GGA relaxed
# Raw formation energy = 0.175 eV/atom
# Energy = -3.776 eV/atom
# SG = No. 221
# ΔE to the lowest computed polymorph = 0 meV/atom
# Spin magnetization = 1.191 μB per atom
data_Ca3CrSb
_space_group_name_H-M_alt 'P 1'
_space_group_IT_number 1
_space_group_name_Hall 'P 1'
_cell_length_a 5.9042
_cell_length_b 5.9042
_cell_length_c 5.9042
_cell_angle_alpha 90.00
_cell_angle_beta 90.00
_cell_angle_gamma 90.00
loop_
_atom_site_label
_atom_site_fract_x
_atom_site_fract_y
_atom_site_fract_z
Ca1 0.0000 0.0000 0.5000
Ca2 0.5000 0.0000 0.0000
Sb1 0.0000 0.0000 0.0000
Ca3 0.0000 0.5000 0.0000
Cr1 0.5000 0.5000 0.5000

# FeCu2Ir PBE-GGA relaxed
# Energy = -6.172 eV/atom
# SG = No. 225
# ΔE to the lowest computed polymorph = 138 meV/atom
# Spin magnetization = 0.895 μB per atom
# Energy of formation = 206.8 meV/atom
data_FeCu2Ir
_space_group_name_H-M_alt 'P 1'
_space_group_IT_number 1
_space_group_name_Hall 'P 1'
_cell_length_a 4.1696
_cell_length_b 4.1696
_cell_length_c 4.1696
_cell_angle_alpha 60.00
_cell_angle_beta 60.00
_cell_angle_gamma 60.00
loop_
_atom_site_label
_atom_site_fract_x
_atom_site_fract_y
_atom_site_fract_z
Fe1 0.0000 0.0000 0.0000
Cu1 0.7500 0.7500 0.7500
Ir1 0.5000 0.5000 0.5000
Cu2 0.2500 0.2500 0.2500

# CaTiCd2 PBE-GGA relaxed
# Energy = -2.988 eV/atom
# SG = No. 123
# Spin magnetization = 0.021 μB per atom
# Energy of formation = -56.5 meV/atom
data_CaTiCd2
_space_group_name_H-M_alt 'P 1'
_space_group_IT_number 1
_space_group_name_Hall 'P 1'
_cell_length_a 3.5179
_cell_length_b 3.5179
_cell_length_c 7.4111
_cell_angle_alpha 90.00
_cell_angle_beta 90.00
_cell_angle_gamma 90.00
loop_
_atom_site_label
_atom_site_fract_x
_atom_site_fract_y
_atom_site_fract_z
Ti1 0.5000 0.5000 0.0000
Cd1 0.0000 0.0000 0.7885
Cd2 0.0000 0.0000 0.2115
Ca1 0.5000 0.5000 0.5000

# Cs2KCd2 PBE-GGA relaxed
# Energy = -0.952 eV/atom
# SG = No. 127
# ΔE to the lowest computed polymorph = 1 meV/atom
# Spin magnetization = 0.000 μB per atom
# Energy of formation = -25.0 meV/atom
data_Cs2KCd2
_space_group_name_H-M_alt 'P 1'
_space_group_IT_number 1
_space_group_name_Hall 'P 1'
_cell_length_a 9.8299
_cell_length_b 9.8299
_cell_length_c 5.8420
_cell_angle_alpha 90.00
_cell_angle_beta 90.00
_cell_angle_gamma 90.00
loop_
_atom_site_label
_atom_site_fract_x
_atom_site_fract_y
_atom_site_fract_z
Cd1 0.1102 0.3898 0.0000
Cd2 0.6102 0.1102 0.0000
Cs1 0.3238 0.1762 0.5000
Cs2 0.8238 0.3238 0.5000
Cd3 0.3898 0.8898 0.0000
Cs3 0.1762 0.6762 0.5000
Cs4 0.6762 0.8238 0.5000
K1 0.5000 0.5000 0.0000
K2 0.0000 0.0000 0.0000
Cd4 0.8898 0.6102 0.0000

# Pm3SiTeBr PBE-GGA relaxed
# Raw formation energy = -1.046 eV/atom
# Energy = -5.128 eV/atom
# SG = No. 11
# Spin magnetization = 0.221 μB per atom
data_Pm3SiTeBr
_space_group_name_H-M_alt 'P 1'
_space_group_IT_number 1
_space_group_name_Hall 'P 1'
_cell_length_a 4.2447
_cell_length_b 8.9258
_cell_length_c 10.4428
_cell_angle_alpha 91.07
_cell_angle_beta 90.00
_cell_angle_gamma 90.00
loop_
_atom_site_label
_atom_site_fract_x
_atom_site_fract_y
_atom_site_fract_z
Te1 0.2500 0.1254 0.1685
Te2 0.7500 0.8746 0.8315
Si1 0.7500 0.3747 0.8587
Br1 0.7500 0.8666 0.4246
Si2 0.2500 0.6253 0.1413
Pm1 0.7500 0.8563 0.1350
Pm2 0.2500 0.1437 0.8650
Pm3 0.2500 0.6435 0.4110
Pm4 0.7500 0.3565 0.5890
Pm5 0.7500 0.3923 0.1406
Pm6 0.2500 0.6077 0.8594
Br2 0.2500 0.1334 0.5754

# GaPd2I PBE-GGA relaxed
# Raw formation energy = -0.090 eV/atom
# Energy = -3.831 eV/atom
# SG = No. 122
# ΔE to the lowest computed polymorph = 0 meV/atom
# Spin magnetization = 0.000 μB per atom
data_GaPd2I
_space_group_name_H-M_alt 'P 1'
_space_group_IT_number 1
_space_group_name_Hall 'P 1'
_cell_length_a 4.8716
_cell_length_b 4.8716
_cell_length_c 8.5475
_cell_angle_alpha 73.44
_cell_angle_beta 73.44
_cell_angle_gamma 90.00
loop_
_atom_site_label
_atom_site_fract_x
_atom_site_fract_y
_atom_site_fract_z
Pd1 0.5646 0.1250 0.2500
Pd2 0.3750 0.4354 0.7500
Ga1 0.2500 0.7500 0.5000
Pd3 0.8750 0.8146 0.7500
Pd4 0.1854 0.6250 0.2500
I1 0.0000 0.0000 0.0000
Ga2 0.5000 0.5000 0.0000
I2 0.7500 0.2500 0.5000

# HgOs2 PBE-GGA relaxed
# Energy = -6.334 eV/atom
# SG = No. 123
# ΔE to the lowest computed polymorph = 857 meV/atom
# Spin magnetization = 0.001 μB per atom
# Energy of formation = 1252.6 meV/atom
data_HgOs2
_space_group_name_H-M_alt 'P 1'
_space_group_IT_number 1
_space_group_name_Hall 'P 1'
_cell_length_a 3.5600
_cell_length_b 3.5600
_cell_length_c 4.6582
_cell_angle_alpha 90.00
_cell_angle_beta 90.00
_cell_angle_gamma 90.00
loop_
_atom_site_label
_atom_site_fract_x
_atom_site_fract_y
_atom_site_fract_z
Os1 0.5000 0.0000 0.5000
Os2 0.0000 0.5000 0.5000
Hg1 0.0000 0.0000 0.0000

# Na2Au2F7 PBE-GGA relaxed
# Raw formation energy = -1.578 eV/atom
# Energy = -3.605 eV/atom
# SG = No. 12
# ΔE to the lowest computed polymorph = 42 meV/atom
# Spin magnetization = 0.095 μB per atom
data_Na2Au2F7
_space_group_name_H-M_alt 'P 1'
_space_group_IT_number 1
_space_group_name_Hall 'P 1'
_cell_length_a 5.6032
_cell_length_b 6.0778
_cell_length_c 6.0778
_cell_angle_alpha 108.81
_cell_angle_beta 94.23
_cell_angle_gamma 94.23
loop_
_atom_site_label
_atom_site_fract_x
_atom_site_fract_y
_atom_site_fract_z
Au1 0.6827 0.7586 0.7586
F1 0.7710 0.4868 0.4868
F2 0.7385 0.9639 0.5603
F3 0.2615 0.4397 0.0361
F4 0.7385 0.5603 0.9639
Au2 0.3173 0.2414 0.2414
F5 0.5000 0.0000 0.0000
F6 0.2290 0.5132 0.5132
F7 0.2615 0.0361 0.4397
Na1 0.0000 0.3003 0.6997
Na2 0.0000 0.6997 0.3003

# LiGd2Mg PBE-GGA relaxed
# Energy = -7.906 eV/atom
# SG = No. 225
# ΔE to the lowest computed polymorph = 5 meV/atom
# Spin magnetization = 3.825 μB per atom
# Energy of formation = 11.2 meV/atom
data_LiGd2Mg
_space_group_name_H-M_alt 'P 1'
_space_group_IT_number 1
_space_group_name_Hall 'P 1'
_cell_length_a 5.3518
_cell_length_b 5.3518
_cell_length_c 5.3518
_cell_angle_alpha 60.00
_cell_angle_beta 60.00
_cell_angle_gamma 60.00
loop_
_atom_site_label
_atom_site_fract_x
_atom_site_fract_y
_atom_site_fract_z
Mg1 0.0000 0.0000 0.0000
Gd1 0.7500 0.7500 0.7500
Gd2 0.2500 0.2500 0.2500
Li1 0.5000 0.5000 0.5000

# SrReN3 PBE-GGA relaxed
# Raw formation energy = -0.152 eV/atom
# Energy = -7.973 eV/atom
# SG = No. 1
# Spin magnetization = 0.000 μB per atom
data_SrReN3
_space_group_name_H-M_alt 'P 1'
_space_group_IT_number 1
_space_group_name_Hall 'P 1'
_cell_length_a 4.6254
_cell_length_b 5.1607
_cell_length_c 7.6500
_cell_angle_alpha 99.30
_cell_angle_beta 104.56
_cell_angle_gamma 64.27
loop_
_atom_site_label
_atom_site_fract_x
_atom_site_fract_y
_atom_site_fract_z
N1 0.6754 0.1225 0.5854
N2 0.3601 0.2570 0.4898
Re1 0.2710 0.5431 0.3039
N3 0.1117 0.5379 0.0638
N4 0.3898 0.8577 0.8668
N5 0.7249 0.3851 0.3369
N6 0.2931 0.8976 0.7056
Re2 0.0649 0.0429 0.4842
Sr1 0.8053 0.1853 0.0289
Sr2 0.9141 0.6212 0.6919